No. 1
# SrHgI2N

SrHgI2N after structural relaxation (PBE, Alexandria via LeMat-Bulk).

Unit cell a=6.3503 b=6.3503 c=4.1111 alpha=90.00 beta=90.00 gamma=90.00
Last column: nearest neighbours and their distance in Å.
Space group P4/mmm (No. 123)
Asymmetric unit:
Sr: 0.0000 0.0000 0.0000 (multiplicity 1)  8 I 3.78, 2 Sr 4.11
Hg: 0.5000 0.5000 0.5000 (multiplicity 1)  2 N 2.06
I: 0.0000 0.5000 0.5000 (multiplicity 2)  2 Hg 3.18
N: 0.5000 0.5000 0.0000 (multiplicity 1)  2 Hg 2.06

Values from the calculation:
Relative energy among the computed polymorphs in meV/atom: 0
Total magnetization in μB/cell: 1.205
Calculated total energy in eV per formula unit: -13.01
Uncorrected formation energy in eV/atom: 0.08
ρ in g cm⁻³: 5.6

---

No. 2
# Na2ScHgRu

Na2ScHgRu after structural relaxation (PBE, Alexandria via LeMat-Bulk).

Unit cell a=5.0205 b=5.0205 c=5.2829 alpha=90.00 beta=90.00 gamma=90.00
Last column: nearest neighbours and their distance in Å.
Space group P4/mmm (No. 123)
Asymmetric unit:
Na: 0.0000 0.5000 0.0000 (multiplicity 2)  2 Hg 2.51
Sc: 0.0000 0.0000 0.5000 (multiplicity 1)  4 Ru 3.55, 8 Na 3.64
Hg: 0.5000 0.5000 0.0000 (multiplicity 1)  4 Na 2.51, 2 Ru 2.64
Ru: 0.5000 0.5000 0.5000 (multiplicity 1)  2 Hg 2.64

Values from the calculation:
Relative energy among the computed polymorphs in meV/atom: 0
Total magnetization in μB/cell: 0.001
Calculated total energy in eV per formula unit: -14.12
ρ in g cm⁻³: 4.9

---

No. 3
# ZnGeSeO

ZnGeSeO after structural relaxation (PBE, Alexandria via LeMat-Bulk).

Unit cell a=4.2226 b=3.5507 c=5.6668 alpha=90.00 beta=109.25 gamma=90.00
Last column: nearest neighbours and their distance in Å.
Space group Pm (No. 6)
Asymmetric unit:
Zn: 0.0000 0.0000 0.0000 (multiplicity 1)  2 O 2.01
Ge: 0.5318 0.5000 0.4383 (multiplicity 1)  1 O 1.87
Se: 0.4072 0.0000 0.7298 (multiplicity 1)  2 Zn 2.47-2.65, 2 Ge 2.59
O: 0.1285 0.5000 0.1705 (multiplicity 1)  1 Ge 1.87, 2 Zn 2.01

Values from the calculation:
Relative energy among the computed polymorphs in meV/atom: 30
Total magnetization in μB/cell: 0.000
Calculated total energy in eV per formula unit: -17.39
Uncorrected formation energy in eV/atom: -0.76
ρ in g cm⁻³: 4.8

---

No. 4
# Cd4ReNi

Cd4ReNi after structural relaxation (PBE, Alexandria via LeMat-Bulk).

Unit cell a=7.7476 b=7.7476 c=7.7476 alpha=90.00 beta=90.00 gamma=90.00
Last column: nearest neighbours and their distance in Å.
Space group F-43m (No. 216)
Asymmetric unit:
Cd: 0.1250 0.1250 0.1250 (multiplicity 16)  6 Cd 2.74
Re: 0.0000 0.0000 0.5000 (multiplicity 4)  12 Cd 3.21, 4 Ni 3.35
Ni: 0.2500 0.2500 0.7500 (multiplicity 4)  12 Cd 3.21, 4 Re 3.35

Values from the calculation:
Total magnetization in μB/cell: 12.626
Calculated total energy in eV per formula unit: -16.47
ρ in g cm⁻³: 9.9

---

No. 5
# Pm3Ho6Sc2

Pm3Ho6Sc2 after structural relaxation (PBE, Alexandria via LeMat-Bulk).

Unit cell a=3.5230 b=3.5230 c=93.8975 alpha=90.00 beta=90.00 gamma=120.00
Last column: nearest neighbours and their distance in Å.
Space group R-3m (No. 166, hexagonal axes)
Asymmetric unit:
Pm: 0.0000 0.0000 0.0000 (multiplicity 3)  6 Pm 3.52, 6 Ho 3.57
Pm: 0.0000 0.0000 0.2709 (multiplicity 6)  6 Pm 3.52, 6 Ho 3.57-3.60
Ho: 0.0000 0.0000 0.0941 (multiplicity 6)  3 Sc 3.37, 6 Ho 3.52, 3 Pm 3.60
Ho: 0.0000 0.0000 0.1821 (multiplicity 6)  3 Sc 3.37, 9 Ho 3.52-3.54
Ho: 0.0000 0.0000 0.3646 (multiplicity 6)  6 Ho 3.52, 6 Pm 3.57
Sc: 0.0000 0.0000 0.4560 (multiplicity 6)  6 Ho 3.37, 6 Sc 3.52

Values from the calculation:
Total magnetization in μB/cell: 0.000
Calculated total energy in eV per formula unit: -53.95
ρ in g cm⁻³: 7.5

---

No. 6
# CsTeSe2O8

CsTeSe2O8 after structural relaxation (PBE, Alexandria via LeMat-Bulk).

Unit cell a=11.2364 b=5.6570 c=7.9869 alpha=90.00 beta=115.96 gamma=90.00
Last column: nearest neighbours and their distance in Å.
Space group C2/m (No. 12)
Asymmetric unit:
Cs: 0.0000 0.0000 0.0000 (multiplicity 2)  10 O 3.20-3.51
Te: 0.0000 0.5000 0.5000 (multiplicity 2)  4 O 2.17
Se: 0.2036 0.0000 0.6574 (multiplicity 4)  4 O 1.64-1.74
O: 0.1219 0.2372 0.7000 (multiplicity 8)  1 Se 1.74
O: 0.1426 0.5000 0.1817 (multiplicity 4)  1 Se 1.64
O: 0.1807 0.0000 0.4397 (multiplicity 4)  1 Se 1.64

Values from the calculation:
Total magnetization in μB/cell: 2.001
Calculated total energy in eV per formula unit: -60.43
Uncorrected formation energy in eV/atom: -0.82
ρ in g cm⁻³: 4.0

---

No. 7
# Pm2Nd8Sm

Pm2Nd8Sm after structural relaxation (PBE, Alexandria via LeMat-Bulk).

Unit cell a=18.6972 b=5.1900 c=8.2154 alpha=90.00 beta=105.28 gamma=90.00
Last column: nearest neighbours and their distance in Å.
Space group C2/m (No. 12)
Asymmetric unit:
Pm: 0.2272 0.0000 0.1359 (multiplicity 4)  10 Nd 3.66-3.68, 2 Pm 3.67
Nd: 0.0456 0.0000 0.2279 (multiplicity 4)  9 Nd 3.67-3.68, 1 Pm 3.67, 2 Sm 3.67
Nd: 0.0910 0.5000 0.9540 (multiplicity 4)  3 Pm 3.66-3.67, 8 Nd 3.67-3.68, 1 Sm 3.67
Nd: 0.1364 0.0000 0.6821 (multiplicity 4)  7 Nd 3.67, 3 Pm 3.67, 2 Sm 3.67
Nd: 0.1818 0.5000 0.4094 (multiplicity 4)  8 Nd 3.67-3.68, 1 Sm 3.67, 3 Pm 3.67-3.68
Sm: 0.0000 0.5000 0.5000 (multiplicity 2)  12 Nd 3.67

Values from the calculation:
Relative energy among the computed polymorphs in meV/atom: 0
Total magnetization in μB/cell: 0.000
Calculated total energy in eV per formula unit: -52.23
ρ in g cm⁻³: 6.9

---

No. 8
# KLi2In

KLi2In after structural relaxation (PBE, Alexandria via LeMat-Bulk).

Unit cell a=3.6646 b=3.6646 c=8.6303 alpha=90.00 beta=90.00 gamma=90.00
Last column: nearest neighbours and their distance in Å.
Space group P4mm (No. 99)
Asymmetric unit:
K: 0.0000 0.0000 0.0000 (multiplicity 1)  4 K 3.66, 4 In 3.71, 4 Li 3.98
Li: 0.0000 0.0000 0.5223 (multiplicity 1)  4 In 2.98, 4 Li 2.99
Li: 0.5000 0.5000 0.3494 (multiplicity 1)  1 In 2.96, 4 Li 2.99
In: 0.5000 0.5000 0.6926 (multiplicity 1)  5 Li 2.96-2.98

Values from the calculation:
Total magnetization in μB/cell: 0.000
Calculated total energy in eV per formula unit: -7.80
ρ in g cm⁻³: 2.4